No. 1
A plane-wave DFT calculation with GGA-PBE was carried out for Ba3CdGa2Au6 after structural relaxation.

energy relative to the elements	-0.4735	eV per atom
magnetic moment	0.00	μB/f.u.
DFT total energy	-38.1	eV/cell

abc: 6.8767 6.8767 8.5155
angles: 90.00 90.00 120.00
With the nearest neighbours (Å) after each atom.
Fractional positions:
Ba: 0.3333 0.6667 0.6531  9 Au 3.47-3.51, 1 Ga 3.49
Ba: 0.6667 0.3333 0.3469  9 Au 3.47-3.51, 1 Ga 3.49
Ba: 0.0000 0.0000 0.0000  6 Au 3.36
Cd: 0.0000 0.0000 0.5000  6 Au 2.83
Ga: 0.6667 0.3333 0.9365  3 Au 2.63
Ga: 0.3333 0.6667 0.0635  3 Au 2.63
Au: 0.6256 0.8128 0.2955  1 Ga 2.63, 1 Cd 2.83
Au: 0.1872 0.3744 0.2955  1 Ga 2.63, 1 Cd 2.83
Au: 0.1872 0.8128 0.2955  1 Ga 2.63, 1 Cd 2.83
Au: 0.8128 0.6256 0.7045  1 Ga 2.63, 1 Cd 2.83
Au: 0.3744 0.1872 0.7045  1 Ga 2.63, 1 Cd 2.83
Au: 0.8128 0.1872 0.7045  1 Ga 2.63, 1 Cd 2.83



No. 2
A plane-wave DFT calculation with GGA-PBE was carried out for Sr3Ga2Rh2 after structural relaxation.

energy relative to the elements	-0.5206	eV per atom
magnetic moment	0.00	μB/f.u.
DFT total energy	-117.8	eV/cell

abc: 6.1288 8.1580 14.2071
angles: 90.00 90.00 90.00
With the nearest neighbours (Å) after each atom.
Fractional positions:
Sr: 0.1418 0.6038 0.0974  4 Rh 3.08-3.31, 3 Ga 3.30-3.33
Sr: 0.8582 0.3962 0.5974  4 Rh 3.08-3.31, 3 Ga 3.30-3.33
Sr: 0.8582 0.1038 0.4026  4 Rh 3.08-3.31, 3 Ga 3.30-3.33
Sr: 0.1418 0.8962 0.9026  4 Rh 3.08-3.31, 3 Ga 3.30-3.33
Sr: 0.8582 0.3962 0.9026  4 Rh 3.08-3.31, 3 Ga 3.30-3.33
Sr: 0.1418 0.6038 0.4026  4 Rh 3.08-3.31, 3 Ga 3.30-3.33
Sr: 0.1418 0.8962 0.5974  4 Rh 3.08-3.31, 3 Ga 3.30-3.33
Sr: 0.8582 0.1038 0.0974  4 Rh 3.08-3.31, 3 Ga 3.30-3.33
Sr: 0.3678 0.2607 0.2500  2 Ga 3.07-3.08, 4 Rh 3.25-3.28
Sr: 0.6322 0.7393 0.7500  2 Ga 3.07-3.08, 4 Rh 3.25-3.28
Sr: 0.6322 0.7607 0.2500  2 Ga 3.07-3.08, 4 Rh 3.25-3.28
Sr: 0.3678 0.2393 0.7500  2 Ga 3.07-3.08, 4 Rh 3.25-3.28
Ga: 0.4097 0.2500 0.0000  4 Rh 2.62-2.64
Ga: 0.5903 0.7500 0.5000  4 Rh 2.62-2.64
Ga: 0.5903 0.7500 0.0000  4 Rh 2.62-2.64
Ga: 0.4097 0.2500 0.5000  4 Rh 2.62-2.64
Ga: 0.8267 0.4123 0.2500  2 Rh 2.58
Ga: 0.1733 0.5877 0.7500  2 Rh 2.58
Ga: 0.1733 0.9123 0.2500  2 Rh 2.58
Ga: 0.8267 0.0877 0.7500  2 Rh 2.58
Rh: 0.6362 0.4736 0.0917  3 Ga 2.58-2.64
Rh: 0.3638 0.5264 0.5917  3 Ga 2.58-2.64
Rh: 0.3638 0.9736 0.4083  3 Ga 2.58-2.64
Rh: 0.6362 0.0264 0.9083  3 Ga 2.58-2.64
Rh: 0.3638 0.5264 0.9083  3 Ga 2.58-2.64
Rh: 0.6362 0.4736 0.4083  3 Ga 2.58-2.64
Rh: 0.6362 0.0264 0.5917  3 Ga 2.58-2.64
Rh: 0.3638 0.9736 0.0917  3 Ga 2.58-2.64



- energy relative to the elements of number 2 (Sr3Ga2Rh2)?
  -0.5206 eV per atom